No. 1
Density functional theory data (PBE) for a relaxed La2AgHRu crystal.

Cell lengths 5.233, 5.233, 3.757 Å; angles 90.00, 90.00, 90.00 degrees
Space group P4/mmm (No. 123)
Asymmetric unit:
La 0.000 0.500 0.000
Ag 0.000 0.000 0.500
H 0.500 0.500 0.000
Ru 0.500 0.500 0.500

Values from the calculation:
V, Å³/cell: 102.9
Energy, eV/atom: -5.364



No. 2
Density functional theory data (PBE) for a relaxed RbSc3Fe crystal.

Cell lengths 5.096, 5.096, 5.096 Å; angles 90.00, 90.00, 90.00 degrees
Space group Pm-3m (No. 221)
Asymmetric unit:
Rb 0.000 0.000 0.000
Sc 0.000 0.500 0.500
Fe 0.500 0.500 0.500

Values from the calculation:
Formation energy from the elements, eV/f.u.: 1.73
V, Å³/cell: 132.4
Excess energy over the best structure of this formula in the dataset, kJ/mol of formula units: 0.0



No. 3
Density functional theory data (PBE) for a relaxed La3Tb4Tl4 crystal.

Cell lengths 4.838, 8.520, 17.260 Å; angles 90.00, 90.00, 90.00 degrees
Space group Immm (No. 71)
Asymmetric unit:
La 0.000 0.000 0.000
La 0.000 0.500 0.114
Tb 0.000 0.297 0.330
Tl 0.000 0.000 0.223
Tl 0.000 0.189 0.500

Values from the calculation:
Formation energy from the elements, eV/f.u.: -2.63
V, Å³/cell: 711.4



No. 4
Density functional theory data (PBE) for a relaxed AgTe2PtO8 crystal.

Cell lengths 5.4351, 5.4351, 7.1168 Å; angles 90.00, 90.00, 120.00 degrees
Space group P-3 (No. 147)
Asymmetric unit:
Ag 0.0000 0.0000 0.0000
Te 0.3333 0.6667 0.7363
Pt 0.0000 0.0000 0.5000
O 0.0064 0.2949 0.6751
O 0.3333 0.6667 0.9912

Values from the calculation:
V, Å³/cell: 182.1
Energy, eV/atom: -5.019



No. 5
Density functional theory data (PBE) for a relaxed MnZnIn crystal.

Cell lengths 7.044, 4.072, 7.705 Å; angles 90.00, 107.65, 90.00 degrees
Space group C2/m (No. 12)
Asymmetric unit:
Mn 0.173 0.000 0.018
Zn 0.056 0.500 0.170
In 0.207 0.500 0.621

Values from the calculation:
Formation energy from the elements, eV/f.u.: 0.71
V, Å³/cell: 210.6



No. 6
Density functional theory data (PBE) for a relaxed Cd3FeGe crystal.

Cell lengths 5.154, 5.154, 5.154 Å; angles 90.00, 90.00, 90.00 degrees
Space group Pm-3m (No. 221)
Asymmetric unit:
Cd 0.000 0.000 0.500
Fe 0.500 0.500 0.500
Ge 0.000 0.000 0.000

Values from the calculation:
Formation energy from the elements, eV/f.u.: 4.70
V, Å³/cell: 136.9
Excess energy over the best structure of this formula in the dataset, kJ/mol of formula units: 118.4



No. 7
Density functional theory data (PBE) for a relaxed SrYZnSb2 crystal.

Cell lengths 5.791, 5.791, 5.454 Å; angles 90.00, 90.00, 90.00 degrees
Space group P4/mmm (No. 123)
Asymmetric unit:
Sr 0.000 0.000 0.000
Y 0.500 0.500 0.500
Zn 0.500 0.500 0.000
Sb 0.000 0.500 0.500

Values from the calculation:
V, Å³/cell: 182.9
Energy, eV/atom: -3.785



No. 8
Density functional theory data (PBE) for a relaxed Ba2TlP crystal.

Cell lengths 4.838, 4.838, 11.706 Å; angles 90.00, 90.00, 90.00 degrees
Space group I-4m2 (No. 119)
Asymmetric unit:
Ba 0.000 0.000 0.000
Ba 0.000 0.500 0.250
Tl 0.000 0.000 0.500
P 0.000 0.500 0.750

Values from the calculation:
Formation energy from the elements, eV/f.u.: -1.55
V, Å³/cell: 274.0
Excess energy over the best structure of this formula in the dataset, kJ/mol of formula units: 93.8



No. 9
Density functional theory data (PBE) for a relaxed Tb12SmTm6 crystal.

Cell lengths 11.8559, 11.8559, 15.0968 Å; angles 90.00, 90.00, 120.00 degrees
Space group R-3 (No. 148, hexagonal axes)
Asymmetric unit:
Tb 0.0120 0.8324 0.1914
Tb 0.0429 0.8502 0.4160
Sm 0.0000 0.0000 0.0000
Tm 0.0108 0.4246 0.6820

Values from the calculation:
Formation energy from the elements, eV/f.u.: 2.90
V, Å³/cell: 1837.7
Excess energy over the best structure of this formula in the dataset, kJ/mol of formula units: 0.0



No. 10
Density functional theory data (PBE) for a relaxed Sc6BiSb2Te3 crystal.

Cell lengths 18.279, 4.180, 8.373 Å; angles 90.00, 103.40, 90.00 degrees
Space group C2/m (No. 12)
Asymmetric unit:
Sc 0.004 0.000 0.253
Sc 0.168 0.500 0.094
Sc 0.170 0.500 0.577
Bi 0.000 0.500 0.000
Sb 0.167 0.000 0.334
Te 0.000 0.500 0.500
Te 0.165 0.000 0.833

Values from the calculation:
V, Å³/cell: 622.3
Energy, eV/atom: -5.964



No. 11
Density functional theory data (PBE) for a relaxed Pr6Ir2S3Cl crystal.

Cell lengths 18.407, 4.075, 8.603 Å; angles 90.00, 105.00, 90.00 degrees
Space group C2/m (No. 12)
Asymmetric unit:
Pr 0.007 0.000 0.274
Pr 0.169 0.500 0.581
Pr 0.176 0.500 0.106
Ir 0.167 0.000 0.335
S 0.000 0.500 0.500
S 0.158 0.000 0.841
Cl 0.000 0.500 0.000

Values from the calculation:
V, Å³/cell: 623.3
Energy, eV/atom: -6.491



No. 12
Density functional theory data (PBE) for a relaxed Tl3ReSb crystal.

Cell lengths 5.392, 5.392, 5.392 Å; angles 90.00, 90.00, 90.00 degrees
Space group Pm-3m (No. 221)
Asymmetric unit:
Tl 0.000 0.000 0.500
Re 0.000 0.000 0.000
Sb 0.500 0.500 0.500

Values from the calculation:
V, Å³/cell: 156.8
Excess energy over the best structure of this formula in the dataset, kJ/mol of formula units: 0.0